Entry from OQMD: Pr2GdSn4Au4 after structural relaxation (PBE).

Output
Its space-group type is Immm (71). As for the calculated total energy: -50.90 eV/cell.

Cell: 8.949 8.949 8.949 Å, 149.52 131.99 57.94°
Sites, in units of the cell vectors:
Au1 0.631 0.331 0.300
Au2 0.969 0.669 0.300
Au3 0.369 0.669 0.700
Au4 0.031 0.331 0.700
Gd1 0.000 0.000 0.000
Pr1 0.630 0.130 0.500
Pr2 0.370 0.870 0.500
Sn1 0.214 0.214 0.000
Sn2 0.786 0.786 0.000
Sn3 0.700 0.500 0.200
Sn4 0.300 0.500 0.800